DFT (PBE-GGA) results for a relaxed AlInGaAg crystal.

a = 4.853 Å, b = 4.853 Å, c = 4.853 Å
α = 60.00°, β = 60.00°, γ = 60.00°
Positions (direct):
Al 0.000 0.000 0.000
Ga 0.750 0.750 0.750
Ag 0.250 0.250 0.250
In 0.500 0.500 0.500

- DOS(E_F): 2.999 states/eV/cell
- ΔH_f (0 K): 0.16 eV per atom